[1]
# RbAsPb2Br8, relaxed, DFT GGA-PBE
# **Uncorrected formation energy**: -0.843 eV per atom
data_RbAsPb2Br8
_symmetry_space_group_name_H-M 'P 1'
_symmetry_Int_Tables_number 1
_cell_length_a 7.1307
_cell_length_b 6.8378
_cell_length_c 9.2347
_cell_angle_alpha 89.92
_cell_angle_beta 89.97
_cell_angle_gamma 88.60
loop_
_symmetry_equiv_pos_as_xyz
'x,y,z'
loop_
_atom_site_label
_atom_site_fract_x
_atom_site_fract_y
_atom_site_fract_z
Br1 0.8486 0.2347 0.7969
Br2 0.3102 0.2262 0.0002
Br3 0.8477 0.2339 0.2027
Br4 0.6178 0.7318 0.4997
Br5 0.6898 0.7738 0.9998
Br6 0.1514 0.7653 0.2031
Br7 0.3822 0.2682 0.5003
Br8 0.1523 0.7661 0.7973
Pb1 0.5000 0.4997 0.7564
Pb2 0.5000 0.5003 0.2436
As1 0.0000 0.0000 0.0000
Rb1 0.0000 0.0000 0.5000

=====

[2]
# RbAsPbBr2, relaxed, DFT GGA-PBE
# **Uncorrected formation energy**: 0.224 eV per atom
# **Relative energy among the computed polymorphs**: 761 meV per atom
data_RbAsPbBr2
_symmetry_space_group_name_H-M 'P 1'
_symmetry_Int_Tables_number 1
_cell_length_a 6.0775
_cell_length_b 6.0775
_cell_length_c 6.2881
_cell_angle_alpha 90.00
_cell_angle_beta 90.00
_cell_angle_gamma 90.00
loop_
_symmetry_equiv_pos_as_xyz
'x,y,z'
loop_
_atom_site_label
_atom_site_fract_x
_atom_site_fract_y
_atom_site_fract_z
Rb1 0.0000 0.0000 0.0000
Br1 0.5000 0.0000 0.0000
Br2 0.0000 0.5000 0.0000
As1 0.0000 0.0000 0.5000
Pb1 0.5000 0.5000 0.5000

=====

[3]
# RbAsPbBr2, relaxed, DFT GGA-PBE
# **Uncorrected formation energy**: -0.537 eV per atom
# **Relative energy among the computed polymorphs**: 0 meV per atom
data_RbAsPbBr2
_symmetry_space_group_name_H-M 'P 1'
_symmetry_Int_Tables_number 1
_cell_length_a 6.0429
_cell_length_b 6.0429
_cell_length_c 5.7186
_cell_angle_alpha 90.00
_cell_angle_beta 90.00
_cell_angle_gamma 90.00
loop_
_symmetry_equiv_pos_as_xyz
'x,y,z'
loop_
_atom_site_label
_atom_site_fract_x
_atom_site_fract_y
_atom_site_fract_z
Br1 0.0000 0.5000 0.0000
Br2 0.5000 0.0000 0.0000
Pb1 0.0000 0.0000 0.0000
Rb1 0.5000 0.5000 0.5000
As1 0.0000 0.0000 0.5000

=====

[4]
# ReAsPbBr2, relaxed, DFT GGA-PBE
# **Uncorrected formation energy**: 0.447 eV per atom
# **Relative energy among the computed polymorphs**: 0 meV per atom
data_ReAsPbBr2
_symmetry_space_group_name_H-M 'P 1'
_symmetry_Int_Tables_number 1
_cell_length_a 5.2970
_cell_length_b 5.2970
_cell_length_c 4.7629
_cell_angle_alpha 90.00
_cell_angle_beta 90.00
_cell_angle_gamma 90.00
loop_
_symmetry_equiv_pos_as_xyz
'x,y,z'
loop_
_atom_site_label
_atom_site_fract_x
_atom_site_fract_y
_atom_site_fract_z
Br1 0.0000 0.5000 0.0000
Br2 0.5000 0.0000 0.0000
Pb1 0.5000 0.5000 0.5000
As1 0.0000 0.0000 0.5000
Re1 0.0000 0.0000 0.0000

=====

[5]
# ReAs2PbBr, relaxed, DFT GGA-PBE
# **Uncorrected formation energy**: 0.382 eV per atom
# **Relative energy among the computed polymorphs**: 0 meV per atom
data_ReAs2PbBr
_symmetry_space_group_name_H-M 'P 1'
_symmetry_Int_Tables_number 1
_cell_length_a 4.7993
_cell_length_b 4.7993
_cell_length_c 5.5333
_cell_angle_alpha 90.00
_cell_angle_beta 90.00
_cell_angle_gamma 90.00
loop_
_symmetry_equiv_pos_as_xyz
'x,y,z'
loop_
_atom_site_label
_atom_site_fract_x
_atom_site_fract_y
_atom_site_fract_z
As1 0.5000 0.0000 0.0000
As2 0.0000 0.5000 0.0000
Re1 0.0000 0.0000 0.0000
Br1 0.0000 0.0000 0.5000
Pb1 0.5000 0.5000 0.5000

=====

[6]
# ReAsPbBr2, relaxed, DFT GGA-PBE
# **Uncorrected formation energy**: 1.324 eV per atom
# **Relative energy among the computed polymorphs**: 877 meV per atom
data_ReAsPbBr2
_symmetry_space_group_name_H-M 'P 1'
_symmetry_Int_Tables_number 1
_cell_length_a 5.6735
_cell_length_b 5.6735
_cell_length_c 5.7368
_cell_angle_alpha 90.00
_cell_angle_beta 90.00
_cell_angle_gamma 90.00
loop_
_symmetry_equiv_pos_as_xyz
'x,y,z'
loop_
_atom_site_label
_atom_site_fract_x
_atom_site_fract_y
_atom_site_fract_z
Br1 0.0000 0.5000 0.0000
Br2 0.5000 0.0000 0.0000
As1 0.0000 0.0000 0.5000
Pb1 0.0000 0.0000 0.0000
Re1 0.5000 0.5000 0.5000

=====

no.,DOS at the Fermi energy (states/eV per cell)
1,0.0
2,3.1
3,2.9
4,4.8
5,4.1
6,3.0